No. 1
Compound: MgCo2
Source: the Alexandria database
Functional: GGA-PBE
Structure: relaxed

Structure (POSCAR):
```
MgCo2
1.0
-6.180 1.695 3.332
2.903 -6.554 0.889
1.334 0.867 2.033
Co Mg
6 3
Direct
0.000 0.316 0.000
0.351 0.351 0.500
0.684 0.684 0.000
0.000 0.649 0.500
0.649 0.000 0.500
0.316 0.000 0.000
0.000 0.000 0.500
0.333 0.667 0.000
0.667 0.333 0.000
```

DFT formation energy in eV per formula unit: 0.9
Space-group type: No. 189

***

No. 2
Compound: MgCo
Source: the Alexandria database
Functional: GGA-PBE
Structure: relaxed

Structure (POSCAR):
```
MgCo
1.0
3.593 0.354 3.825
3.953 2.793 2.058
-2.422 3.569 4.433
Co Mg
3 3
Direct
0.382 0.382 0.799
0.372 0.372 0.241
0.004 0.004 0.961
0.699 0.699 0.092
0.706 0.706 0.619
0.004 0.004 0.454
```

DFT formation energy in eV per formula unit: 0.3
Space-group type: No. 8

***

No. 3
Compound: Mg2Mn2Co
Source: the Alexandria database
Functional: GGA-PBE
Structure: relaxed

Structure (POSCAR):
```
Mg2Mn2Co
1.0
5.863 0.000 0.000
0.000 5.863 0.000
0.000 0.000 4.395
Mg Co Mn
4 2 4
Direct
0.821 0.321 0.500
0.179 0.679 0.500
0.679 0.821 0.500
0.321 0.179 0.500
0.500 0.500 0.000
0.000 0.000 0.000
0.874 0.626 0.000
0.374 0.874 0.000
0.626 0.126 0.000
0.126 0.374 0.000
```

DFT formation energy in eV per formula unit: 1.8
Space-group type: No. 127

***

No. 4
Compound: Mg2MnCo2
Source: the Alexandria database
Functional: GGA-PBE
Structure: relaxed

Structure (POSCAR):
```
Mg2MnCo2
1.0
5.802 0.000 0.000
0.000 5.802 0.000
0.000 0.000 4.218
Mg Co Mn
4 4 2
Direct
0.677 0.823 0.500
0.177 0.677 0.500
0.323 0.177 0.500
0.823 0.323 0.500
0.134 0.366 0.000
0.366 0.866 0.000
0.634 0.134 0.000
0.866 0.634 0.000
0.500 0.500 0.000
0.000 0.000 0.000
```

DFT formation energy in eV per formula unit: 1.1
Space-group type: No. 127

***

No. 5
Compound: Mg4MnCo
Source: the Alexandria database
Functional: GGA-PBE
Structure: relaxed

Structure (POSCAR):
```
Mg4MnCo
1.0
-1.816 -3.774 3.480
-1.252 1.390 5.114
-5.202 0.059 1.610
Mg Co Mn
4 1 1
Direct
0.375 0.375 0.876
0.876 0.375 0.375
0.375 0.876 0.375
0.375 0.375 0.375
0.000 0.000 0.000
0.750 0.750 0.750
```

DFT formation energy in eV per formula unit: 3.3
Space-group type: No. 216

***

No. 6
Compound: Mg6MnCo
Source: the Alexandria database
Functional: GGA-PBE
Structure: relaxed

Structure (POSCAR):
```
Mg6MnCo
1.0
-0.730 6.021 -0.329
-4.762 -3.764 0.196
-0.009 0.260 4.777
Mg Co Mn
6 1 1
Direct
0.829 0.670 0.500
0.676 0.324 0.000
0.657 0.832 0.000
0.180 0.820 0.000
0.168 0.343 0.000
0.330 0.171 0.500
0.329 0.671 0.500
0.831 0.169 0.500
```

DFT formation energy in eV per formula unit: 1.5
Space-group type: No. 38
Polymorph energy (0 for the lowest one) in meV/atom: 17

***

No. 7
Compound: MgMn2Co2
Source: the Alexandria database
Functional: GGA-PBE
Structure: relaxed

Structure (POSCAR):
```
MgMn2Co2
1.0
-6.320 -0.225 -2.773
0.766 -6.757 -1.198
-1.053 -0.553 2.446
Co Mn Mg
4 4 2
Direct
0.363 0.863 0.000
0.137 0.363 0.000
0.637 0.137 0.000
0.863 0.637 0.000
0.156 0.656 0.500
0.844 0.344 0.500
0.656 0.844 0.500
0.344 0.156 0.500
0.000 0.000 0.000
0.500 0.500 0.000
```

DFT formation energy in eV per formula unit: 0.8
Space-group type: No. 127

***

No. 8
Compound: Mg6MnCo
Source: the Alexandria database
Functional: GGA-PBE
Structure: relaxed

Structure (POSCAR):
```
Mg6MnCo
1.0
3.621 3.786 3.219
-6.008 -0.509 1.206
0.911 -3.483 3.072
Mg Mn Co
6 1 1
Direct
0.668 0.332 0.000
0.177 0.349 0.000
0.651 0.823 0.000
0.328 0.152 0.500
0.832 0.168 0.500
0.848 0.672 0.500
0.185 0.815 0.000
0.312 0.688 0.500
```

DFT formation energy in eV per formula unit: 1.4
Space-group type: No. 38
Polymorph energy (0 for the lowest one) in meV/atom: 0

***

No. 9
Compound: Mg3MnCo8
Source: the Alexandria database
Functional: GGA-PBE
Structure: relaxed

Structure (POSCAR):
```
Mg3MnCo8
1.0
-3.372 -2.434 -2.416
-3.924 -1.583 2.286
-6.100 5.376 -1.688
Co Mg Mn
8 3 1
Direct
0.688 0.688 0.937
0.437 0.936 0.190
0.938 0.938 0.684
0.936 0.437 0.190
0.938 0.440 0.684
0.440 0.938 0.684
0.437 0.437 0.190
0.188 0.188 0.437
0.501 0.501 0.496
0.998 0.998 0.006
0.375 0.375 0.875
0.874 0.874 0.377
```

DFT formation energy in eV per formula unit: 0.0
Space-group type: No. 160

***

No. 10
Compound: Mg3MnCo
Source: the Alexandria database
Functional: GGA-PBE
Structure: relaxed

Structure (POSCAR):
```
Mg3MnCo
1.0
4.913 0.000 0.000
0.000 4.913 0.000
0.000 0.000 4.913
Mg Mn Co
3 1 1
Direct
0.500 0.000 0.000
0.000 0.000 0.500
0.000 0.500 0.000
0.000 0.000 0.000
0.500 0.500 0.500
```

DFT formation energy in eV per formula unit: 5.8
Space-group type: No. 221
Polymorph energy (0 for the lowest one) in meV/atom: 572

***

No. 11
Compound: MgMn2Co2
Source: the Alexandria database
Functional: GGA-PBE
Structure: relaxed

Structure (POSCAR):
```
MgMn2Co2
1.0
6.955 0.000 0.000
0.000 6.955 0.000
0.000 0.000 2.519
Mg Mn Co
2 4 4
Direct
0.000 0.000 0.000
0.500 0.500 0.000
0.384 0.884 0.000
0.616 0.116 0.000
0.116 0.384 0.000
0.884 0.616 0.000
0.825 0.325 0.500
0.675 0.825 0.500
0.175 0.675 0.500
0.325 0.175 0.500
```

DFT formation energy in eV per formula unit: 1.0
Space-group type: No. 127

***

No. 12
Compound: MgMnCo5
Source: the Alexandria database
Functional: GGA-PBE
Structure: relaxed

Structure (POSCAR):
```
MgMnCo5
1.0
-4.571 -0.287 -0.824
1.383 -0.502 -7.499
0.490 -9.998 0.759
Co Mn Mg
20 4 4
Direct
0.750 0.312 0.756
0.010 0.070 0.689
0.990 0.430 0.189
0.750 0.914 0.520
0.250 0.688 0.244
0.750 0.056 0.906
0.490 0.570 0.811
0.750 0.414 0.980
0.250 0.086 0.480
0.990 0.930 0.311
0.750 0.812 0.744
0.250 0.188 0.256
0.750 0.556 0.594
0.250 0.444 0.406
0.250 0.586 0.020
0.250 0.944 0.094
0.510 0.930 0.311
0.490 0.070 0.689
0.010 0.570 0.811
0.510 0.430 0.189
0.250 0.368 0.639
0.750 0.132 0.139
0.250 0.868 0.861
0.750 0.632 0.361
0.250 0.240 0.936
0.750 0.760 0.064
0.750 0.260 0.436
0.250 0.740 0.564
```

DFT formation energy in eV per formula unit: 0.6
Space-group type: No. 62

***

No. 13
Compound: Mg3MnCo
Source: the Alexandria database
Functional: GGA-PBE
Structure: relaxed

Structure (POSCAR):
```
Mg3MnCo
1.0
4.747 0.000 0.000
0.000 4.747 0.000
0.000 0.000 4.747
Mg Co Mn
3 1 1
Direct
0.000 0.500 0.000
0.500 0.000 0.000
0.000 0.000 0.500
0.000 0.000 0.000
0.500 0.500 0.500
```

DFT formation energy in eV per formula unit: 2.9
Space-group type: No. 221
Polymorph energy (0 for the lowest one) in meV/atom: 0

***

No. 14
Compound: MgMn2Co2
Source: the Alexandria database
Functional: GGA-PBE
Structure: relaxed

Structure (POSCAR):
```
MgMn2Co2
1.0
-0.061 -1.766 -3.411
3.160 -1.962 0.960
-1.138 -5.299 0.601
Co Mn Mg
2 2 1
Direct
0.387 0.387 0.227
0.613 0.613 0.773
0.750 0.250 0.500
0.250 0.750 0.500
0.000 0.000 0.000
```

DFT formation energy in eV per formula unit: 1.3
Space-group type: No. 139

***

No. 15
Compound: MgMnCo2N
Source: the Alexandria database
Functional: GGA-PBE
Structure: relaxed

Structure (POSCAR):
```
MgMnCo2N
1.0
3.835 0.000 0.000
0.000 3.835 0.000
0.000 0.000 3.837
Mg Co Mn N
1 2 1 1
Direct
0.500 0.500 0.500
0.000 0.500 0.000
0.500 0.000 0.000
0.000 0.000 0.500
0.000 0.000 0.000
```

Space-group type: No. 123
Formation energy without anion corrections in eV/atom: -0.143

***

| no. | electronic total energy (eV per atom) | size of the total moment (μB per formula unit) |
| --- | --- | --- |
| 1 | -4.97 | 2.965 |
| 2 | -4.22 | 1.376 |
| 3 | -5.36 | 4.048 |
| 4 | -5.09 | 0.702 |
| 5 | -3.23 | 4.887 |
| 6 | -3.04 | 4.733 |
| 7 | -6.67 | 6.535 |
| 8 | -3.05 | 4.950 |
| 9 | -5.90 | 15.611 |
| 10 | -3.06 | 5.143 |
| 11 | -6.63 | 1.607 |
| 12 | -6.52 | 10.834 |
| 13 | -3.63 | 4.721 |
| 14 | -6.57 | 5.118 |
| 15 | -6.80 | 4.307 |